## ZrNi3Sb5 (GGA-PBE)

Data for ZrNi3Sb5 after structural relaxation.

Uncorrected energy: -0.1896 hartree per atom
Calculated density: 7805 kg/m3
ΔE_f (raw): 0.01 eV/atom
D(E_F): 11.6 states/eV/cell
Total magnetic moment: 0.0 μB per formula unit

Cell: 7.474 7.474 7.707 Å, 90.00 90.00 120.00°
Element x y z (fractional)
Sb 0.000 0.688 0.250
Sb 0.312 0.312 0.250
Sb 0.688 0.000 0.250
Sb 0.000 0.312 0.750
Sb 0.688 0.688 0.750
Sb 0.312 0.000 0.750
Sb 0.667 0.333 0.000
Sb 0.333 0.667 0.500
Sb 0.333 0.667 0.000
Sb 0.667 0.333 0.500
Zr 0.000 0.000 0.000
Zr 0.000 0.000 0.500
Ni 0.000 0.353 0.250
Ni 0.647 0.647 0.250
Ni 0.353 0.000 0.250
Ni 0.000 0.647 0.750
Ni 0.353 0.353 0.750
Ni 0.647 0.000 0.750